# 1
YNbAl2Au | GGA-PBE | optimized geometry

a b c (Å): 4.750 4.750 5.436
angles (deg): 90.00 90.00 90.00
Space group P4/mmm (No. 123)
Unique sites:
1 Y 0.000 0.000 0.000 x1
2 Nb 0.500 0.500 0.000 x1
3 Al 0.000 0.500 0.500 x2
4 Au 0.000 0.000 0.500 x1

Calculated formation energy (eV per atom): 0.528



# 2
KLaRh2 | GGA-PBE | optimized geometry

a b c (Å): 4.317 4.518 6.331
angles (deg): 90.00 109.88 90.00
Space group Pm (No. 6)
Unique sites:
1 K 0.000 0.000 0.000 x1
2 La 0.729 0.500 0.457 x1
3 Rh 0.282 0.000 0.562 x1
4 Rh 0.370 0.500 0.741 x1

Calculated formation energy (eV per atom): -0.030
Relative energy among the computed polymorphs (meV per atom): 82



# 3
TmTh5Sb4 | GGA-PBE | optimized geometry

a b c (Å): 18.574 4.218 8.713
angles (deg): 90.00 101.49 90.00
Space group C2/m (No. 12)
Unique sites:
1 Tm 0.000 0.000 0.000 x2
2 Th 0.000 0.000 0.500 x2
3 Th 0.166 0.500 0.797 x4
4 Th 0.183 0.500 0.356 x4
5 Sb 0.008 0.500 0.243 x4
6 Sb 0.164 0.000 0.070 x4

Raw formation energy (eV per atom): -0.486